Here is an optimized crystal structure of GaPdF5 from the Alexandria database. Energies are from PBE-GGA.

Lattice parameters (Å, degrees): 5.511 5.511 5.511 140.01 106.98 86.67
Sites, in units of the cell vectors:
Ga 0.000 0.000 0.000
Pd 0.500 0.500 0.000
F 0.000 0.500 0.500
F 0.234 0.234 0.000
F 0.299 0.000 0.299
F 0.701 0.000 0.701
F 0.766 0.766 0.000

## Properties
Crystal system: orthorhombic
Raw formation energy, eV/atom: -1.906
SG: Immm
E_tot, Ry/atom: -0.3246

---

Here is an optimized crystal structure of Ga2PdF8 from the Alexandria database. Energies are from PBE-GGA.

Lattice parameters (Å, degrees): 6.885 6.885 3.871 95.58 95.58 68.19
Sites, in units of the cell vectors:
Ga 0.236 0.236 0.349
Ga 0.764 0.764 0.651
Pd 0.500 0.500 0.500
F 0.084 0.084 0.278
F 0.196 0.531 0.398
F 0.254 0.254 0.855
F 0.469 0.804 0.602
F 0.531 0.196 0.398
F 0.746 0.746 0.145
F 0.804 0.469 0.602
F 0.916 0.916 0.722

## Properties
Crystal system: monoclinic
Raw formation energy, eV/atom: -2.010
SG: C2/m
E_tot, Ry/atom: -0.3229

---

Here is an optimized crystal structure of GaPdF6 from the Alexandria database. Energies are from PBE-GGA.

Lattice parameters (Å, degrees): 5.138 5.138 5.584 93.00 93.00 120.99
Sites, in units of the cell vectors:
Ga 0.000 0.000 0.000
Pd 0.000 0.000 0.500
F 0.009 0.725 0.235
F 0.275 0.991 0.765
F 0.300 0.300 0.226
F 0.700 0.700 0.774
F 0.725 0.009 0.235
F 0.991 0.275 0.765

## Properties
Crystal system: monoclinic
Raw formation energy, eV/atom: -1.770
SG: C2/m
E_tot, Ry/atom: -0.3088

---

Here is an optimized crystal structure of GaPd2F from the Alexandria database. Energies are from PBE-GGA.

Lattice parameters (Å, degrees): 5.441 5.441 5.441 104.94 104.94 118.97
Sites, in units of the cell vectors:
Ga 0.000 0.000 0.000
Ga 0.750 0.250 0.500
Pd 0.132 0.625 0.007
Pd 0.375 0.382 0.507
Pd 0.618 0.125 0.993
Pd 0.875 0.868 0.493
F 0.250 0.750 0.500
F 0.500 0.500 0.000

## Properties
Crystal system: tetragonal
Raw formation energy, eV/atom: -0.550
Relative energy among the computed polymorphs, meV per atom: 129
SG: I-42d
E_tot, Ry/atom: -0.3212